Record 1
Computed, not measured: a PBEsol-optimized structure of BaHgSe4 at the SCAN level of DFT.

a b c (Å): 5.9155 5.9155 5.9155
angles (deg): 60.00 60.00 60.00
Closest atoms and distances in Å follow each position.
Positions (direct):
Se (0.3740, 0.8780, 0.3740)  6 Se 2.93-2.98
Se (0.8780, 0.3740, 0.3740)  6 Se 2.93-2.98
Se (0.3740, 0.3740, 0.3740)  6 Se 2.93-2.98
Hg (0.0000, 0.0000, 0.0000)  12 Se 3.47, 4 Ba 3.62
Se (0.3740, 0.3740, 0.8780)  6 Se 2.93-2.98
Ba (0.7500, 0.7500, 0.7500)  12 Se 3.47, 4 Hg 3.62

## Properties
**Formation energy without anion corrections**: -466 meV/atom
**DOS(E_F)**: 2.21 states/eV/cell
**Volume**: 146.37 Å³/cell
**SG**: F-43m
**Size of the total moment**: 0.00 μB/f.u.

---

Record 2
Computed, not measured: a PBEsol-optimized structure of BaZrHg2Se at the SCAN level of DFT.

a b c (Å): 5.5857 5.7957 5.7957
angles (deg): 90.00 90.00 90.00
Closest atoms and distances in Å follow each position.
Positions (direct):
Hg (0.0000, 0.0000, 0.5000)  2 Ba 2.90
Ba (0.0000, 0.0000, 0.0000)  2 Zr 2.79, 4 Hg 2.90
Se (0.5000, 0.5000, 0.5000)  8 Hg 4.02, 4 Zr 4.10
Zr (0.5000, 0.0000, 0.0000)  2 Ba 2.79
Hg (0.0000, 0.5000, 0.0000)  2 Ba 2.90

## Properties
**Formation energy without anion corrections**: 1167 meV/atom
**DOS(E_F)**: 3.07 states/eV/cell
**Volume**: 187.63 Å³/cell
**SG**: P4/mmm
**Size of the total moment**: 0.00 μB/f.u.

---

Record 3
Computed, not measured: a PBEsol-optimized structure of BaSiHg2 at the SCAN level of DFT.

a b c (Å): 4.5708 4.5948 6.5464
angles (deg): 110.31 90.00 119.83
Closest atoms and distances in Å follow each position.
Positions (direct):
Ba (0.0000, 0.0000, 0.5000)  6 Hg 3.37-3.38
Si (0.5000, 0.0000, 0.0000)  6 Hg 2.80
Hg (0.2167, 0.4334, 0.1507)  3 Si 2.80
Hg (0.7833, 0.5666, 0.8493)  3 Si 2.80

## Properties
**Formation energy without anion corrections**: -289 meV/atom
**DOS(E_F)**: 2.08 states/eV/cell
**Volume**: 109.31 Å³/cell
**SG**: C2/m
**Size of the total moment**: 0.00 μB/f.u.

---

Record 4
Computed, not measured: a PBEsol-optimized structure of BaSi3Hg at the SCAN level of DFT.

a b c (Å): 5.6015 5.6015 5.6015
angles (deg): 90.00 90.00 90.00
Closest atoms and distances in Å follow each position.
Positions (direct):
Ba (0.0000, 0.0000, 0.0000)  6 Si 2.80
Si (0.0000, 0.5000, 0.0000)  2 Ba 2.80
Si (0.0000, 0.0000, 0.5000)  2 Ba 2.80
Hg (0.5000, 0.5000, 0.5000)  12 Si 3.96
Si (0.5000, 0.0000, 0.0000)  2 Ba 2.80

## Properties
**Formation energy without anion corrections**: 1917 meV/atom
**DOS(E_F)**: 4.66 states/eV/cell
**Volume**: 175.76 Å³/cell
**SG**: Pm-3m
**Size of the total moment**: 0.00 μB/f.u.

---

Record 5
Computed, not measured: a PBEsol-optimized structure of BaSiHg3 at the SCAN level of DFT.

a b c (Å): 5.1811 5.1811 5.1811
angles (deg): 90.00 90.00 90.00
Closest atoms and distances in Å follow each position.
Positions (direct):
Hg (0.0000, 0.5000, 0.0000)  2 Si 2.59
Si (0.0000, 0.0000, 0.0000)  6 Hg 2.59
Ba (0.5000, 0.5000, 0.5000)  12 Hg 3.66
Hg (0.0000, 0.0000, 0.5000)  2 Si 2.59
Hg (0.5000, 0.0000, 0.0000)  2 Si 2.59

## Properties
**Formation energy without anion corrections**: -221 meV/atom
**DOS(E_F)**: 3.69 states/eV/cell
**Volume**: 139.08 Å³/cell
**SG**: Pm-3m
**Size of the total moment**: 0.00 μB/f.u.

---

Record 6
Computed, not measured: a PBEsol-optimized structure of BaSiHg2 at the SCAN level of DFT.

a b c (Å): 3.8668 4.4758 6.4887
angles (deg): 90.00 105.09 90.00
Closest atoms and distances in Å follow each position.
Positions (direct):
Ba (0.0000, 0.5000, 0.5000)  2 Si 3.32, 8 Hg 3.45-3.57
Si (0.5000, 0.5000, 0.0000)  4 Hg 2.73
Hg (0.3409, 0.0000, 0.1982)  2 Si 2.73
Hg (0.6591, 0.0000, 0.8018)  2 Si 2.73

## Properties
**Formation energy without anion corrections**: -165 meV/atom
**DOS(E_F)**: 1.45 states/eV/cell
**Volume**: 108.43 Å³/cell
**SG**: P2/m
**Size of the total moment**: 0.00 μB/f.u.

---

Record 7
Computed, not measured: a PBEsol-optimized structure of BaSn2Hg2 at the SCAN level of DFT.

a b c (Å): 4.8764 4.8764 6.9376
angles (deg): 110.58 110.58 90.00
Closest atoms and distances in Å follow each position.
Positions (direct):
Hg (0.3858, 0.3858, 0.7716)  1 Hg 2.75, 4 Sn 2.94
Sn (0.7500, 0.2500, 0.5000)  4 Hg 2.94
Hg (0.6142, 0.6142, 0.2284)  1 Hg 2.75, 4 Sn 2.94
Ba (0.0000, 0.0000, 0.0000)  8 Hg 3.71, 8 Sn 3.87
Sn (0.2500, 0.7500, 0.5000)  4 Hg 2.94

## Properties
**DOS(E_F)**: 1.70 states/eV/cell
**Volume**: 143.15 Å³/cell
**SG**: I4/mmm
**Size of the total moment**: 0.00 μB/f.u.
**Energy of formation from the pure elements**: -0.48 eV/atom

---

Record 8
Computed, not measured: a PBEsol-optimized structure of BaSr2Hg at the SCAN level of DFT.

a b c (Å): 4.3483 4.3483 11.6382
angles (deg): 79.23 79.23 60.00
Closest atoms and distances in Å follow each position.
Positions (direct):
Ba (0.5000, 0.5000, 0.5000)  6 Ba 4.35, 6 Sr 4.40
Sr (0.2728, 0.2728, 0.1815)  3 Hg 3.25
Sr (0.7272, 0.7272, 0.8185)  3 Hg 3.25
Hg (0.0000, 0.0000, 0.0000)  6 Sr 3.25

## Properties
**DOS(E_F)**: 4.48 states/eV/cell
**Volume**: 186.08 Å³/cell
**SG**: R-3m
**Size of the total moment**: 0.06 μB/f.u.
**Energy of formation from the pure elements**: -0.29 eV/atom